No. 1
## La3Cd2In (GGA-PBE)

Data for a relaxed La3Cd2In crystal.

Its total magnetization is 0.01 μB per formula unit. The volume comes out at 30.7 A^3/atom. The density of states at the Fermi level comes out at 1.494 states/eV/atom. The formation energy is -390 meV per atom.

Cell: 5.579 16.749 3.942 Å, 90.00 90.00 90.00°
Space group Cmmm (No. 65)
Symmetry-distinct sites (fractional):
La 0.000 0.000 0.000 [2 per cell]
La 0.000 0.335 0.000 [4 per cell]
Cd 0.000 0.169 0.500 [4 per cell]
In 0.000 0.500 0.500 [2 per cell]


No. 2
## LaCdIn2 (GGA-PBE)

Data for a relaxed LaCdIn2 crystal.

Its total magnetization is 0.00 μB per formula unit. The volume comes out at 30.4 A^3/atom. The density of states at the Fermi level comes out at 0.658 states/eV/atom. The formation energy is -116 meV per atom.

Cell: 4.745 4.745 21.603 Å, 90.00 90.00 90.00°
Space group I-42d (No. 122)
Symmetry-distinct sites (fractional):
La 0.000 0.000 0.000 [4 per cell]
Cd 0.000 0.000 0.500 [4 per cell]
In 0.205 0.250 0.625 [8 per cell]


No. 3
## La12Cd6In (GGA-PBE)

Data for a relaxed La12Cd6In crystal.

Its total magnetization is 0.00 μB per formula unit. The volume comes out at 31.4 A^3/atom. The density of states at the Fermi level comes out at 1.232 states/eV/atom. The formation energy is -173 meV per atom.

Cell: 11.7671 11.7671 14.9032 Å, 90.00 90.00 120.00°
Space group R-3 (No. 148, hexagonal axes)
Symmetry-distinct sites (fractional):
La 0.0374 0.8411 0.3147 [18 per cell]
La 0.0688 0.2147 0.9033 [18 per cell]
Cd 0.0399 0.5921 0.2035 [18 per cell]
In 0.0000 0.0000 0.5000 [3 per cell]


No. 4
## La5Cd2In (GGA-PBE)

Data for a relaxed La5Cd2In crystal.

Its total magnetization is 0.00 μB per formula unit. The volume comes out at 31.6 A^3/atom. The density of states at the Fermi level comes out at 1.413 states/eV/atom. The formation energy is -256 meV per atom.

Cell: 8.174 8.174 7.563 Å, 90.00 90.00 90.00°
Space group I4mm (No. 107)
Symmetry-distinct sites (fractional):
La 0.000 0.000 0.000 [2 per cell]
La 0.250 0.250 0.249 [8 per cell]
Cd 0.000 0.500 0.499 [4 per cell]
In 0.000 0.000 0.499 [2 per cell]


No. 5
## LaCd3In (GGA-PBE)

Data for a relaxed LaCd3In crystal.

The value obtained for the energy relative to the lowest polymorph listed for this composition is 91 meV/atom. Its total magnetization is 0.00 μB per formula unit. The volume comes out at 27.6 A^3/atom. The density of states at the Fermi level comes out at 0.757 states/eV/atom. The formation energy is -202 meV per atom.

Cell: 6.223 6.677 6.650 Å, 90.00 90.00 90.00°
Space group Pmn2_1 (No. 31)
Symmetry-distinct sites (fractional):
La 0.000 0.243 0.000 [2 per cell]
Cd 0.000 0.915 0.634 [2 per cell]
Cd 0.248 0.741 0.980 [4 per cell]
In 0.000 0.611 0.337 [2 per cell]


No. 6
## LaCd3In (GGA-PBE)

Data for a relaxed LaCd3In crystal.

The value obtained for the energy relative to the lowest polymorph listed for this composition is 482 meV/atom. Its total magnetization is 0.00 μB per formula unit. The volume comes out at 31.0 A^3/atom. The density of states at the Fermi level comes out at 1.008 states/eV/atom. The formation energy is 189 meV per atom.

Cell: 5.374 5.374 5.374 Å, 90.00 90.00 90.00°
Space group Pm-3m (No. 221)
Symmetry-distinct sites (fractional):
La 0.000 0.000 0.000 [1 per cell]
Cd 0.000 0.500 0.500 [3 per cell]
In 0.500 0.500 0.500 [1 per cell]


No. 7
## La3Cd3In2 (GGA-PBE)

Data for a relaxed La3Cd3In2 crystal.

Its total magnetization is 0.00 μB per formula unit. The volume comes out at 29.2 A^3/atom. The density of states at the Fermi level comes out at 0.838 states/eV/atom. The formation energy is -408 meV per atom.

Cell: 4.925 11.661 16.293 Å, 90.00 90.00 90.00°
Space group Cmcm (No. 63)
Symmetry-distinct sites (fractional):
La 0.000 0.092 0.107 [8 per cell]
La 0.000 0.364 0.250 [4 per cell]
Cd 0.000 0.352 0.750 [4 per cell]
Cd 0.000 0.385 0.035 [8 per cell]
In 0.000 0.203 0.605 [8 per cell]


No. 8
## LaCdIn3 (GGA-PBE)

Data for a relaxed LaCdIn3 crystal.

The value obtained for the energy relative to the lowest polymorph listed for this composition is 94 meV/atom. Its total magnetization is 0.00 μB per formula unit. The volume comes out at 28.2 A^3/atom. The density of states at the Fermi level comes out at 0.551 states/eV/atom. The formation energy is -173 meV per atom.

Cell: 7.2025 7.2025 6.2725 Å, 90.00 90.00 120.00°
Space group P6_3/mmc (No. 194)
Symmetry-distinct sites (fractional):
La 0.3333 0.6667 0.2500 [2 per cell]
Cd 0.0000 0.0000 0.0000 [2 per cell]
In 0.1973 0.3945 0.7500 [6 per cell]


No. 9
## LaCd2In3 (GGA-PBE)

Data for a relaxed LaCd2In3 crystal.

Its total magnetization is 0.00 μB per formula unit. The volume comes out at 28.3 A^3/atom. The density of states at the Fermi level comes out at 0.642 states/eV/atom. The formation energy is -130 meV per atom.

Cell: 15.588 6.662 6.544 Å, 90.00 90.00 90.00°
Space group Cmcm (No. 63)
Symmetry-distinct sites (fractional):
La 0.000 0.228 0.250 [4 per cell]
Cd 0.152 0.500 0.000 [8 per cell]
In 0.000 0.276 0.750 [4 per cell]
In 0.181 0.034 0.750 [8 per cell]


No. 10
## La2Cd15In2 (GGA-PBE)

Data for a relaxed La2Cd15In2 crystal.

Its total magnetization is 0.00 μB per formula unit. The volume comes out at 23.9 A^3/atom. The density of states at the Fermi level comes out at 0.426 states/eV/atom. The formation energy is -181 meV per atom.

Cell: 10.3073 10.3073 14.8061 Å, 90.00 90.00 120.00°
Space group R-3m (No. 166, hexagonal axes)
Symmetry-distinct sites (fractional):
La 0.0000 0.0000 0.1682 [6 per cell]
Cd 0.0000 0.3085 0.5000 [18 per cell]
Cd 0.0000 0.5000 0.0000 [9 per cell]
Cd 0.0156 0.5078 0.6524 [18 per cell]
In 0.0000 0.0000 0.3993 [6 per cell]


No. 11
## La6CdIn2 (GGA-PBE)

Data for a relaxed La6CdIn2 crystal.

The value obtained for the energy relative to the lowest polymorph listed for this composition is 0 meV/atom. Its total magnetization is 0.00 μB per formula unit. The volume comes out at 31.5 A^3/atom. The density of states at the Fermi level comes out at 1.170 states/eV/atom. The formation energy is -256 meV per atom.

Cell: 9.845 10.207 5.639 Å, 90.00 90.00 90.00°
Space group Pnnm (No. 58)
Symmetry-distinct sites (fractional):
La 0.005 0.180 0.000 [4 per cell]
La 0.164 0.601 0.500 [4 per cell]
La 0.167 0.900 0.500 [4 per cell]
Cd 0.000 0.500 0.000 [2 per cell]
In 0.171 0.254 0.500 [4 per cell]


No. 12
## La3CdIn12 (GGA-PBE)

Data for a relaxed La3CdIn12 crystal.

Its total magnetization is 0.00 μB per formula unit. The volume comes out at 27.0 A^3/atom. The density of states at the Fermi level comes out at 0.344 states/eV/atom. The formation energy is -345 meV per atom.

Cell: 4.774 4.774 18.933 Å, 90.00 90.00 90.00°
Space group P4/mmm (No. 123)
Symmetry-distinct sites (fractional):
La 0.000 0.000 0.000 [1 per cell]
La 0.000 0.000 0.255 [2 per cell]
Cd 0.000 0.000 0.500 [1 per cell]
In 0.000 0.500 0.128 [4 per cell]
In 0.000 0.500 0.384 [4 per cell]
In 0.500 0.500 0.000 [1 per cell]
In 0.500 0.500 0.246 [2 per cell]
In 0.500 0.500 0.500 [1 per cell]